(1)
Density functional theory data (GGA-PBE) for a relaxed structure of MgOs2RuRh.

Lattice parameters (Å, degrees): 4.654 4.654 4.532 90.00 90.00 90.00
Space group P4/mmm (No. 123)
Symmetry-distinct sites (fractional):
Mg1 0.000 0.000 0.000 (multiplicity 1)
Os1 0.000 0.500 0.500 (multiplicity 2)
Ru1 0.500 0.500 0.000 (multiplicity 1)
Rh1 0.000 0.000 0.500 (multiplicity 1)

**E**: -6.248 eV/atom
**Formation enthalpy at 0 K**: 1889 meV/atom

---

(2)
Density functional theory data (GGA-PBE) for a relaxed structure of Tb2SmPa.

Lattice parameters (Å, degrees): 3.419 3.419 10.321 90.00 90.00 90.00
Space group P4/mmm (No. 123)
Symmetry-distinct sites (fractional):
Tb1 0.000 0.000 0.230 (multiplicity 2)
Sm1 0.500 0.500 0.500 (multiplicity 1)
Pa1 0.500 0.500 0.000 (multiplicity 1)

**E**: -5.738 eV/atom
**Formation enthalpy at 0 K**: 130 meV/atom
**Energy above the lowest structure with this stoichiometry**: 0.0000 eV per atom

---

(3)
Density functional theory data (GGA-PBE) for a relaxed structure of HoErTl.

Lattice parameters (Å, degrees): 3.515 3.515 29.879 90.00 90.00 90.00
Space group I4/mmm (No. 139)
Symmetry-distinct sites (fractional):
Ho1 0.000 0.000 0.138 (multiplicity 4)
Er1 0.000 0.000 0.443 (multiplicity 4)
Tl1 0.000 0.000 0.287 (multiplicity 4)

**E**: -3.784 eV/atom
**Formation enthalpy at 0 K**: 51 meV/atom
**Energy above the lowest structure with this stoichiometry**: 0.3017 eV per atom

---

(4)
Density functional theory data (GGA-PBE) for a relaxed structure of La4CoCl.

Lattice parameters (Å, degrees): 9.007 9.007 9.007 90.00 90.00 90.00
Space group F-43m (No. 216)
Symmetry-distinct sites (fractional):
La1 0.123 0.123 0.377 (multiplicity 16)
Co1 0.250 0.250 0.750 (multiplicity 4)
Cl1 0.000 0.000 0.000 (multiplicity 4)

**E**: -4.266 eV/atom
**ΔE_f (raw)**: 0.51 eV/atom

---

(5)
Density functional theory data (GGA-PBE) for a relaxed structure of NaNiH3.

Lattice parameters (Å, degrees): 9.372 8.707 4.609 90.00 93.56 90.00
Space group C2/c (No. 15)
Symmetry-distinct sites (fractional):
Na1 0.193 0.123 0.260 (multiplicity 8)
Ni1 0.000 0.271 0.750 (multiplicity 4)
Ni2 0.000 0.430 0.250 (multiplicity 4)
H1 0.067 0.292 0.441 (multiplicity 8)
H2 0.087 0.415 0.929 (multiplicity 8)
H3 0.124 0.146 0.787 (multiplicity 8)

**E**: -3.566 eV/atom

---

(6)
Density functional theory data (GGA-PBE) for a relaxed structure of Tb5Pm2Ho4.

Lattice parameters (Å, degrees): 3.562 8.729 11.817 104.18 98.62 90.00
Space group P-1 (No. 2)
Symmetry-distinct sites (fractional):
Tb1 0.000 0.000 0.000 (multiplicity 1)
Tb2 0.273 0.183 0.545 (multiplicity 2)
Tb3 0.363 0.907 0.727 (multiplicity 2)
Pm1 0.090 0.727 0.182 (multiplicity 2)
Ho1 0.182 0.454 0.364 (multiplicity 2)
Ho2 0.454 0.637 0.907 (multiplicity 2)

**E**: -4.616 eV/atom
**Formation enthalpy at 0 K**: 17 meV/atom
**Energy above the lowest structure with this stoichiometry**: 0.0000 eV per atom

---

(7)
Density functional theory data (GGA-PBE) for a relaxed structure of CdBi3Pb3.

Lattice parameters (Å, degrees): 8.926 12.234 8.562 90.00 90.40 90.00
Space group C2/m (No. 12)
Symmetry-distinct sites (fractional):
Cd1 0.111 0.000 0.379 (multiplicity 4)
Bi1 0.243 0.000 0.746 (multiplicity 4)
Bi2 0.244 0.233 0.255 (multiplicity 8)
Pb1 0.000 0.146 0.000 (multiplicity 4)
Pb2 0.000 0.357 0.500 (multiplicity 4)
Pb3 0.129 0.500 0.872 (multiplicity 4)

**E**: -3.320 eV/atom
**Formation enthalpy at 0 K**: 64 meV/atom
**Energy above the lowest structure with this stoichiometry**: 0.0037 eV per atom

---

(8)
Density functional theory data (GGA-PBE) for a relaxed structure of MnZnSi2.

Lattice parameters (Å, degrees): 3.717 3.717 7.699 90.00 90.00 90.00
Space group I4/mmm (No. 139)
Symmetry-distinct sites (fractional):
Mn1 0.000 0.000 0.000 (multiplicity 2)
Zn1 0.000 0.000 0.500 (multiplicity 2)
Si1 0.000 0.500 0.250 (multiplicity 4)

**E**: -5.219 eV/atom
**ΔE_f (raw)**: 0.10 eV/atom

---

> Which value of E does entry 5 give?

-3.566 eV/atom

---

> Which value of E does entry 7 give?

-3.320 eV/atom

---

> Which of these has the lowest E?

MgOs2RuRh